A plane-wave DFT calculation with PBE was carried out for an optimized crystal structure of TmGa2Cu3.

Computed properties:
* ΔE to the lowest computed polymorph: 0.000 eV/atom
* volume: 15.9 Å³ per atom
* formation energy: -310.6 meV per atom
* spin magnetization: 0.000 μB/cell
* symmetry: P6_3/mmc
* crystal system: hexagonal

Unit cell a=4.2198 b=4.2198 c=12.3478 alpha=90.00 beta=90.00 gamma=120.00
Last column: nearest neighbours and their distance in Å.
Atoms (fractional coordinates):
Ga (0.6667, 0.3333, 0.0926)  7 Cu 2.46-2.69
Ga (0.6667, 0.3333, 0.4074)  7 Cu 2.46-2.69
Ga (0.3333, 0.6667, 0.9074)  7 Cu 2.46-2.69
Ga (0.3333, 0.6667, 0.5926)  7 Cu 2.46-2.69
Cu (0.0000, 0.0000, 0.0000)  6 Ga 2.69, 6 Cu 2.86
Cu (0.6667, 0.3333, 0.6216)  4 Ga 2.46-2.64
Cu (0.6667, 0.3333, 0.8784)  4 Ga 2.46-2.64
Cu (0.3333, 0.6667, 0.1216)  4 Ga 2.46-2.64
Cu (0.0000, 0.0000, 0.5000)  6 Ga 2.69, 6 Cu 2.86
Cu (0.3333, 0.6667, 0.3784)  4 Ga 2.46-2.64
Tm (0.0000, 0.0000, 0.7500)  8 Cu 2.91-3.09, 6 Ga 3.12
Tm (0.0000, 0.0000, 0.2500)  8 Cu 2.91-3.09, 6 Ga 3.12